VASP calculation (PBE-GGA) on a relaxed structure of Ho7Er4Cd.

Values from the calculation:
Symmetry: P-3m1 (164)
E in eV/f.u.: -50.5
DOS(E_F) in states/eV per atom: 1.961
ΔH_f (0 K) in eV per atom: 0.0601

abc: 5.5103 5.5103 13.7859
angles: 90.00 90.00 120.00
Fractional positions:
Ho: 0.0000 0.0000 0.0000
Ho: 0.6667 0.3333 0.5750
Ho: 0.3333 0.6667 0.4250
Ho: 0.6667 0.3333 0.8259
Ho: 0.3333 0.6667 0.1741
Ho: 0.0000 0.0000 0.2693
Ho: 0.0000 0.0000 0.7307
Er: 0.6667 0.3333 0.0723
Er: 0.3333 0.6667 0.9277
Er: 0.6667 0.3333 0.3153
Er: 0.3333 0.6667 0.6847
Cd: 0.0000 0.0000 0.5000